Record 1
! SrRu3I (PBE, optimized geometry); values from VASP
&SYSTEM
  ibrav = 0, nat = 5, ntyp = 3
/
ATOMIC_SPECIES
I 126.90 I.upf
Ru 101.07 Ru.upf
Sr 87.62 Sr.upf
CELL_PARAMETERS angstrom
-3.4452 3.1051 1.5406
-3.4574 -3.2336 -1.2141
0.2479 -1.9458 4.4762
ATOMIC_POSITIONS crystal
I 0.0000 0.0000 0.0000
Ru 0.0000 0.5000 0.0000
Ru 0.0000 0.0000 0.5000
Ru 0.5000 0.0000 0.0000
Sr 0.5000 0.5000 0.5000
! Raw formation energy = 1133 meV per atom
! Total DFT energy (no corrections) = -25.40 eV per cell
! M_tot = 1.0 Bohr magnetons per cell
! Crystal system = cubic
! DOS at the Fermi energy = 6.38 states/eV/f.u.



Record 2
! HgIBr2 (PBE, optimized geometry); values from VASP
&SYSTEM
  ibrav = 0, nat = 4, ntyp = 3
/
ATOMIC_SPECIES
I 126.90 I.upf
Hg 200.59 Hg.upf
Br 79.90 Br.upf
CELL_PARAMETERS angstrom
0.0000 3.9097 3.9097
3.9097 0.0000 3.9097
3.9097 3.9097 0.0000
ATOMIC_POSITIONS crystal
I 0.0000 0.0000 0.0000
Hg 0.5000 0.5000 0.5000
Br 0.2500 0.2500 0.2500
Br 0.7500 0.7500 0.7500
! Raw formation energy = 312 meV per atom
! Total DFT energy (no corrections) = -3.95 eV per cell
! M_tot = 1.1 Bohr magnetons per cell
! Crystal system = cubic
! DOS at the Fermi energy = 3.08 states/eV/f.u.



Record 3
! CaCrP2 (PBE, optimized geometry); values from VASP
&SYSTEM
  ibrav = 0, nat = 4, ntyp = 3
/
ATOMIC_SPECIES
Ca 40.08 Ca.upf
Cr 52.00 Cr.upf
P 30.97 P.upf
CELL_PARAMETERS angstrom
3.6429 0.0000 0.0000
0.0000 4.4377 0.0000
0.0000 0.0000 4.4377
ATOMIC_POSITIONS crystal
Ca 0.5000 0.5000 0.0000
Cr 0.5000 0.0000 0.5000
P 0.0000 0.0000 0.0000
P 0.0000 0.5000 0.5000
! Total DFT energy (no corrections) = -22.97 eV per cell
! M_tot = 3.9 Bohr magnetons per cell
! Crystal system = tetragonal
! Energy of formation from the pure elements = -3.01 kcal/mol of atoms
! DOS at the Fermi energy = 2.32 states/eV/f.u.



Question: Look up the total DFT energy (no corrections) of the second one.
Answer: -3.95 eV per cell



Question: Among the records above, which one has the highest total DFT energy (no corrections)?
Answer: HgIBr2



Question: Look up the total DFT energy (no corrections) of the second one.
Answer: -3.95 eV per cell